No. 1
Material: TbSm3Ru
Method: DFT, PBE-GGA
State: optimized geometry

Summary:
DFT formation energy   -0.89 eV/f.u.
Density of states at the Fermi level   4.8 states/eV/f.u.

a b c (Å): 7.359 7.359 7.381
angles (deg): 108.81 111.46 108.04
Fractional positions:
Tb 0.702 0.051 0.752
Tb 0.298 0.949 0.248
Sm 0.846 0.050 0.292
Sm 0.242 0.446 0.292
Sm 0.758 0.554 0.708
Sm 0.707 0.449 0.156
Sm 0.154 0.950 0.708
Sm 0.293 0.551 0.844
Ru 0.618 0.751 0.369
Ru 0.382 0.249 0.631

No. 2
Material: Tb3Sm2Ru3
Method: DFT, PBE-GGA
State: optimized geometry

Summary:
DFT formation energy   -1.84 eV/f.u.
Density of states at the Fermi level   4.4 states/eV/f.u.

a b c (Å): 3.490 5.127 10.971
angles (deg): 103.51 99.15 90.00
Fractional positions:
Tb 0.608 0.608 0.217
Tb 0.392 0.392 0.783
Tb 0.500 0.000 0.000
Sm 0.717 0.217 0.434
Sm 0.283 0.783 0.566
Ru 0.113 0.113 0.226
Ru 0.000 0.500 0.000
Ru 0.887 0.887 0.774

No. 3
Material: TbSm3Ru2
Method: DFT, PBE-GGA
State: optimized geometry

Summary:
DFT formation energy   -1.10 eV/f.u.
Density of states at the Fermi level   3.1 states/eV/f.u.

a b c (Å): 4.312 8.419 10.517
angles (deg): 68.15 78.17 75.16
Fractional positions:
Tb 0.428 0.479 0.666
Tb 0.572 0.521 0.334
Sm 0.053 0.112 0.781
Sm 0.947 0.888 0.219
Sm 0.667 0.693 0.973
Sm 0.333 0.307 0.027
Sm 0.789 0.828 0.595
Sm 0.211 0.172 0.405
Ru 0.862 0.435 0.841
Ru 0.138 0.565 0.159
Ru 0.617 0.180 0.586
Ru 0.383 0.820 0.414

No. 4
Material: TbSm12Ru7
Method: DFT, PBE-GGA
State: optimized geometry

Summary:
DFT formation energy   -2.20 eV/f.u.
Density of states at the Fermi level   11.8 states/eV/f.u.

a b c (Å): 8.742 8.742 8.742
angles (deg): 106.22 106.22 106.22
Fractional positions:
Tb 0.000 0.000 0.000
Sm 0.915 0.285 0.745
Sm 0.715 0.255 0.085
Sm 0.445 0.153 0.381
Sm 0.847 0.619 0.555
Sm 0.255 0.085 0.715
Sm 0.619 0.555 0.847
Sm 0.381 0.445 0.153
Sm 0.745 0.915 0.285
Sm 0.153 0.381 0.445
Sm 0.555 0.847 0.619
Sm 0.285 0.745 0.915
Sm 0.085 0.715 0.255
Ru 0.960 0.618 0.900
Ru 0.382 0.100 0.040
Ru 0.100 0.040 0.382
Ru 0.500 0.500 0.500
Ru 0.900 0.960 0.618
Ru 0.618 0.900 0.960
Ru 0.040 0.382 0.100